Record 1
# NaTl2Au

A geometry-optimized NaTl2Au structure (PBE, Alexandria).

POSCAR file:
```
NaTl2Au
1.0
-1.946 2.233 6.949
1.946 -2.233 6.949
1.946 2.233 -6.949
Na Tl Au
1 2 1
Direct
0.000 0.000 0.000 Na
0.299 0.299 0.000 Tl
0.701 0.701 0.000 Tl
0.500 0.500 0.000 Au
```

Output
Formation energy from the elements (eV/f.u.): -0.3
Calculated total energy (eV per cell): -9.67



Record 2
# GaSnSeBr2

A geometry-optimized GaSnSeBr2 structure (PBE, Alexandria).

POSCAR file:
```
GaSnSeBr2
1.0
5.679 0.000 0.000
0.000 5.679 0.000
0.000 0.000 5.281
Ga Sn Se Br
1 1 1 2
Direct
0.000 0.000 0.000 Ga
0.500 0.500 0.500 Sn
0.500 0.500 0.000 Se
0.000 0.500 0.500 Br
0.500 0.000 0.500 Br
```

Output
Formation energy from raw total energies (eV per atom): -0.27
ΔE to the lowest computed polymorph (eV/atom): 0.000
Calculated total energy (eV per cell): -15.23



Record 3
# ErSc2Al9

A geometry-optimized ErSc2Al9 structure (PBE, Alexandria).

POSCAR file:
```
ErSc2Al9
1.0
4.149 0.000 0.000
0.000 4.149 0.000
0.000 0.000 12.429
Er Sc Al
1 2 9
Direct
0.000 0.000 0.000 Er
0.000 0.000 0.336 Sc
0.000 0.000 0.664 Sc
0.000 0.500 0.173 Al
0.000 0.500 0.500 Al
0.000 0.500 0.827 Al
0.500 0.000 0.173 Al
0.500 0.000 0.500 Al
0.500 0.000 0.827 Al
0.500 0.500 0.000 Al
0.500 0.500 0.335 Al
0.500 0.500 0.665 Al
```

Output
ΔE to the lowest computed polymorph (eV/atom): 0.000
Formation energy from the elements (eV/f.u.): -5.2
Calculated total energy (eV per cell): -56.16



Record 4
# AlIBr3

A geometry-optimized AlIBr3 structure (PBE, Alexandria).

POSCAR file:
```
AlIBr3
1.0
6.666 0.000 0.000
0.000 8.221 0.000
0.000 0.000 6.259
Al I Br
2 2 6
Direct
0.000 0.006 0.000 Al
0.500 0.994 0.500 Al
0.000 0.720 0.234 I
0.500 0.280 0.734 I
0.000 0.264 0.792 Br
0.249 0.134 0.259 Br
0.251 0.866 0.759 Br
0.500 0.736 0.292 Br
0.749 0.866 0.759 Br
0.751 0.134 0.259 Br
```

Output
Formation energy from raw total energies (eV per atom): -0.63
ΔE to the lowest computed polymorph (eV/atom): 0.215
Calculated total energy (eV per cell): -26.89



Record 5
# Th2AgTe

A geometry-optimized Th2AgTe structure (PBE, Alexandria).

POSCAR file:
```
Th2AgTe
1.0
5.471 0.000 0.000
0.000 5.471 0.000
0.000 0.000 3.676
Th Ag Te
2 1 1
Direct
0.000 0.500 0.000 Th
0.500 0.000 0.000 Th
0.000 0.000 0.500 Ag
0.500 0.500 0.500 Te
```

Output
Formation energy from raw total energies (eV per atom): -0.48
ΔE to the lowest computed polymorph (eV/atom): 0.000
Calculated total energy (eV per cell): -22.74



Record 6
# Cr2IrRh

A geometry-optimized Cr2IrRh structure (PBE, Alexandria).

POSCAR file:
```
Cr2IrRh
1.0
1.338 0.772 8.514
-1.338 0.772 8.514
0.000 -1.545 8.514
Cr Ir Rh
2 1 1
Direct
0.250 0.250 0.250 Cr
0.750 0.750 0.750 Cr
0.000 0.000 0.000 Ir
0.500 0.500 0.500 Rh
```

Output
Formation energy from the elements (eV/f.u.): 0.0
Calculated total energy (eV per cell): -35.42



Record 7
# Y4SnBiSe2

A geometry-optimized Y4SnBiSe2 structure (PBE, Alexandria).

POSCAR file:
```
Y4SnBiSe2
1.0
7.393 0.000 0.000
0.000 4.280 0.000
-2.473 0.000 6.998
Y Sn Bi Se
4 1 1 2
Direct
0.239 0.000 0.240 Y
0.242 0.500 0.753 Y
0.758 0.500 0.247 Y
0.761 0.000 0.760 Y
0.500 0.000 0.000 Sn
0.500 0.500 0.500 Bi
0.000 0.000 0.500 Se
0.000 0.500 0.000 Se
```

Output
Formation energy from raw total energies (eV per atom): -1.29
Calculated total energy (eV per cell): -51.03



Record 8
# BeSi2Br

A geometry-optimized BeSi2Br structure (PBE, Alexandria).

POSCAR file:
```
BeSi2Br
1.0
2.849 0.000 0.000
0.000 2.849 0.000
0.000 0.000 9.109
Be Si Br
1 2 1
Direct
0.000 0.000 0.000 Be
0.500 0.500 0.150 Si
0.500 0.500 0.850 Si
0.000 0.000 0.500 Br
```

Output
Formation energy from raw total energies (eV per atom): 0.53
ΔE to the lowest computed polymorph (eV/atom): 0.487
Calculated total energy (eV per cell): -14.11



Record 9
# CdHgSeN2

A geometry-optimized CdHgSeN2 structure (PBE, Alexandria).

POSCAR file:
```
CdHgSeN2
1.0
4.230 0.000 0.000
0.000 4.230 0.000
0.000 0.000 6.165
Cd Hg Se N
1 1 1 2
Direct
0.000 0.000 0.000 Cd
0.500 0.500 0.500 Hg
0.500 0.500 0.000 Se
0.000 0.500 0.500 N
0.500 0.000 0.500 N
```

Output
Formation energy from raw total energies (eV per atom): 1.63
ΔE to the lowest computed polymorph (eV/atom): 0.066
Calculated total energy (eV per cell): -13.18